Material: RbHgTe2
Method: DFT, SCAN
State: PBEsol geometry

a b c (Å): 7.2071 7.2071 7.2071
angles (deg): 106.76 106.76 115.05
Atoms (fractional coordinates):
Te 0.9519 0.8750 0.5769
Te 0.2981 0.3750 0.4231
Te 0.1250 0.7019 0.0769
Te 0.6250 0.0481 0.9231
Hg 0.0000 0.0000 0.0000
Hg 0.2500 0.7500 0.5000
Rb 0.5000 0.5000 0.0000
Rb 0.7500 0.2500 0.5000

Calculated volume: 286.12 Å³ per cell
Density: 6.3 g/cm3
ΔE_f (raw): -484 meV per atom
SG: I-42d (122)